! K2RbCl2, relaxed, DFT PBE-GGA; values from VASP
! Formation energy (no corrections) = -140 kJ/mol of atoms
! Total moment = 0.0000 μB/atom
! Distance to the lowest polymorph of the same formula = 0.0 meV per atom
! Total energy = -0.2078 Ry/atom
! Mass density = 1.32 g/cm3
&SYSTEM
  ibrav = 0, nat = 5, ntyp = 3
/
ATOMIC_SPECIES
K 39.10 K.upf
Rb 85.47 Rb.upf
Cl 35.45 Cl.upf
ATOMIC_POSITIONS crystal
K 0.250 0.750 0.500
K 0.750 0.250 0.500
Rb 0.000 0.000 0.000
Cl 0.199 0.199 0.000
Cl 0.801 0.801 0.000
CELL_PARAMETERS angstrom
-2.991 2.991 8.217
2.991 -2.991 8.217
2.991 2.991 -8.217